This record from OQMD describes a relaxed SrCoCuP2 crystal. The functional is PBE.

The structure belongs to space group I-4m2 (No. 119); the cell edges are 3.867, 3.867 and 11.478 Å and the angles 90.00°, 90.00° and 90.00°. The inequivalent atoms are Sr at (0.000, 0.000, 0.000), Co at (0.000, 0.500, 0.250), Cu at (0.000, 0.500, 0.750) and P at (0.000, 0.000, 0.354).

The total energy comes out at -52.792 eV per cell.

This record from OQMD describes a relaxed Sr2CoCuP2 crystal. The functional is PBE.

The structure belongs to space group P-6m2 (No. 187); the cell edges are 3.9749, 3.9749 and 8.8458 Å and the angles 90.00°, 90.00° and 120.00°. The inequivalent atoms are Sr at (0.0000, 0.0000, 0.2457), Co at (0.6667, 0.3333, 0.0000), Cu at (0.3333, 0.6667, 0.5000), P at (0.3333, 0.6667, 0.0000) and P at (0.6667, 0.3333, 0.5000).

The total energy comes out at -29.378 eV per cell.

This record from OQMD describes a relaxed Zr4CoCuP2 crystal. The functional is PBE.

The structure belongs to space group Pm (No. 6); the cell edges are 5.260, 3.657 and 7.499 Å and the angles 90.00°, 110.08° and 90.00°. The inequivalent atoms are Zr at (0.000, 0.000, 0.000), Zr at (0.054, 0.500, 0.628), Zr at (0.487, 0.000, 0.482), Zr at (0.562, 0.500, 0.142), Co at (0.127, 0.500, 0.266), Cu at (0.416, 0.000, 0.850), P at (0.637, 0.500, 0.771) and P at (0.917, 0.000, 0.351).

The total energy comes out at -62.939 eV per cell.